1.
Entry from the Alexandria database: Ba2TeW after structural relaxation (PBE).

Cell: 6.9404 6.9404 6.9404 Å, 138.49 138.49 60.15°
With the nearest neighbours (Å) after each atom.
Sites, in units of the cell vectors:
W 0.7500 0.2500 0.5000  8 Ba 3.48-3.88, 4 Te 3.88
Ba 0.0000 0.0000 0.0000  4 Te 3.48, 4 Ba 3.88, 4 W 3.88
Ba 0.2500 0.7500 0.5000  4 W 3.48, 4 Te 3.88, 4 Ba 3.88
Te 0.5000 0.5000 0.0000  8 Ba 3.48-3.88, 4 W 3.88

Output
The space-group type is I-4m2. The calculation puts the total magnetic moment at 1.01 μB per atom. For the uncorrected formation energy, the calculation gives 0.506 eV per atom. The density of states at the Fermi level is 1.26 states/eV per cell.



2.
Entry from the Alexandria database: Ba2TeW after structural relaxation (PBE).

Cell: 3.7093 3.7093 10.0056 Å, 90.00 90.00 90.00°
With the nearest neighbours (Å) after each atom.
Sites, in units of the cell vectors:
Ba 0.0000 0.0000 0.9216  1 Te 3.50, 4 W 3.57, 4 Ba 3.71
Ba 0.5000 0.5000 0.3265  1 W 3.54, 4 Te 3.59, 4 Ba 3.71
Te 0.0000 0.0000 0.5720  4 W 2.84
W 0.5000 0.5000 0.6799  4 Te 2.84

Output
The space-group type is P4mm. The calculation puts the total magnetic moment at 0.13 μB per atom. For the uncorrected formation energy, the calculation gives 0.375 eV per atom. The density of states at the Fermi level is 4.38 states/eV per cell.



3.
Entry from the Alexandria database: BaTeW3 after structural relaxation (PBE).

Cell: 5.0727 5.0727 5.0727 Å, 90.00 90.00 90.00°
With the nearest neighbours (Å) after each atom.
Sites, in units of the cell vectors:
W 0.0000 0.5000 0.0000  2 Te 2.54
W 0.5000 0.0000 0.0000  2 Te 2.54
W 0.0000 0.0000 0.5000  2 Te 2.54
Ba 0.5000 0.5000 0.5000  12 W 3.59
Te 0.0000 0.0000 0.0000  6 W 2.54

Output
The space-group type is Pm-3m. The calculation puts the total magnetic moment at 0.00 μB per atom. For the uncorrected formation energy, the calculation gives 2.136 eV per atom. The density of states at the Fermi level is 5.23 states/eV per cell. The calculation puts the distance to the lowest polymorph of the same formula at 0.00 eV/f.u.



4.
Entry from the Alexandria database: BaTeW after structural relaxation (PBE).

Cell: 6.9027 6.9027 3.5864 Å, 74.94 74.94 30.11°
With the nearest neighbours (Å) after each atom.
Sites, in units of the cell vectors:
Ba 0.0081 0.0081 0.9919  5 W 3.54-3.95, 4 Ba 3.59, 5 Te 3.63-3.77
Te 0.2911 0.2911 0.7089  4 W 2.79
W 0.7007 0.7007 0.2993  4 Te 2.79

Output
The space-group type is I4mm. The calculation puts the total magnetic moment at 0.01 μB per atom. For the uncorrected formation energy, the calculation gives 0.395 eV per atom. The density of states at the Fermi level is 2.69 states/eV per cell. The calculation puts the distance to the lowest polymorph of the same formula at 0.00 eV/f.u.



5.
Entry from the Alexandria database: Ba4TeW after structural relaxation (PBE).

Cell: 7.1065 7.1065 7.1065 Å, 60.00 60.00 60.00°
With the nearest neighbours (Å) after each atom.
Sites, in units of the cell vectors:
Ba 0.8750 0.3750 0.3750  6 Ba 3.55
Ba 0.3750 0.3750 0.3750  6 Ba 3.55
Ba 0.3750 0.8750 0.3750  6 Ba 3.55
Ba 0.3750 0.3750 0.8750  6 Ba 3.55
W 0.0000 0.0000 0.0000  12 Ba 4.17, 4 Te 4.35
Te 0.7500 0.7500 0.7500  12 Ba 4.17, 4 W 4.35

Output
The space-group type is F-43m. The calculation puts the total magnetic moment at 0.46 μB per atom. For the uncorrected formation energy, the calculation gives 0.940 eV per atom. The density of states at the Fermi level is 6.67 states/eV per cell.



6.
Entry from the Alexandria database: BaTe4W after structural relaxation (PBE).

Cell: 6.4942 6.4942 6.4942 Å, 60.00 60.00 60.00°
With the nearest neighbours (Å) after each atom.
Sites, in units of the cell vectors:
Te 0.3762 0.8715 0.3762  6 Te 3.22-3.28
Te 0.3762 0.3762 0.8715  6 Te 3.22-3.28
Te 0.8715 0.3762 0.3762  6 Te 3.22-3.28
Te 0.3762 0.3762 0.3762  6 Te 3.22-3.28
W 0.7500 0.7500 0.7500  12 Te 3.80, 4 Ba 3.98
Ba 0.0000 0.0000 0.0000  12 Te 3.81, 4 W 3.98

Output
The space-group type is F-43m. The calculation puts the total magnetic moment at 0.91 μB per atom. For the uncorrected formation energy, the calculation gives 0.668 eV per atom. The density of states at the Fermi level is 2.69 states/eV per cell.



7.
Entry from the Alexandria database: BaTeW after structural relaxation (PBE).

Cell: 3.5750 3.5750 7.6524 Å, 90.00 90.00 120.00°
With the nearest neighbours (Å) after each atom.
Sites, in units of the cell vectors:
W 0.3333 0.6667 0.6276  3 Te 2.72
Te 0.6667 0.3333 0.3952  3 W 2.72
Ba 0.0000 0.0000 0.9772  3 W 3.38, 6 Ba 3.57

Output
The space-group type is P3m1. The calculation puts the total magnetic moment at 0.00 μB per atom. For the uncorrected formation energy, the calculation gives 0.630 eV per atom. The density of states at the Fermi level is 3.02 states/eV per cell. The calculation puts the distance to the lowest polymorph of the same formula at 0.71 eV/f.u.



8.
Entry from the Alexandria database: Ba2TeW after structural relaxation (PBE).

Cell: 12.1077 12.1077 8.9507 Å, 47.44 47.44 90.00°
With the nearest neighbours (Å) after each atom.
Sites, in units of the cell vectors:
Ba 0.9317 0.6250 0.2500  2 W 3.17
Ba 0.8183 0.1250 0.2500  2 W 3.17
Ba 0.8750 0.0683 0.7500  2 W 3.17
Ba 0.3750 0.1817 0.7500  2 W 3.17
Te 0.5000 0.5000 0.0000  2 W 2.61
Te 0.2500 0.7500 0.5000  2 W 2.61
W 0.7500 0.2500 0.5000  2 Te 2.61
W 0.0000 0.0000 0.0000  2 Te 2.61

Output
The space-group type is I-42d. The calculation puts the total magnetic moment at 0.00 μB per atom. For the uncorrected formation energy, the calculation gives 0.470 eV per atom. The density of states at the Fermi level is 8.98 states/eV per cell.



9.
Entry from the Alexandria database: Ba2TeW after structural relaxation (PBE).

Cell: 8.9476 8.9476 8.9476 Å, 30.99 30.99 30.99°
With the nearest neighbours (Å) after each atom.
Sites, in units of the cell vectors:
Ba 0.9986 0.9986 0.9986  3 Te 3.46, 3 W 3.51
Ba 0.5014 0.5014 0.5014  3 Te 3.46, 3 W 3.51
W 0.7500 0.7500 0.7500  6 Ba 3.51
Te 0.2500 0.2500 0.2500  6 Ba 3.46

Output
The space-group type is R-3m. The calculation puts the total magnetic moment at 1.03 μB per atom. For the uncorrected formation energy, the calculation gives 0.475 eV per atom. The density of states at the Fermi level is 2.96 states/eV per cell.



10.
Entry from the Alexandria database: Ba2TeW after structural relaxation (PBE).

Cell: 5.6652 5.6652 5.6652 Å, 60.00 60.00 60.00°
With the nearest neighbours (Å) after each atom.
Sites, in units of the cell vectors:
Ba 0.2500 0.2500 0.2500  4 Ba 3.47, 4 Te 3.47
Ba 0.0000 0.0000 0.0000  4 Ba 3.47, 4 W 3.47
Te 0.5000 0.5000 0.5000  4 Ba 3.47, 4 W 3.47
W 0.7500 0.7500 0.7500  4 Ba 3.47, 4 Te 3.47

Output
The space-group type is F-43m. The calculation puts the total magnetic moment at 0.90 μB per atom. For the uncorrected formation energy, the calculation gives 0.702 eV per atom. The density of states at the Fermi level is 3.28 states/eV per cell.



11.
Entry from the Alexandria database: BaTeW3 after structural relaxation (PBE).

Cell: 5.0691 5.0691 5.0691 Å, 90.00 90.00 90.00°
With the nearest neighbours (Å) after each atom.
Sites, in units of the cell vectors:
W 0.0000 0.0000 0.5000  2 Ba 2.53
W 0.0000 0.5000 0.0000  2 Ba 2.53
W 0.5000 0.0000 0.0000  2 Ba 2.53
Te 0.5000 0.5000 0.5000  12 W 3.58
Ba 0.0000 0.0000 0.0000  6 W 2.53

Output
The space-group type is Pm-3m. The calculation puts the total magnetic moment at 0.00 μB per atom. For the uncorrected formation energy, the calculation gives 3.729 eV per atom. The density of states at the Fermi level is 10.40 states/eV per cell. The calculation puts the distance to the lowest polymorph of the same formula at 7.97 eV/f.u.



12.
Entry from the Alexandria database: Ba2TeW after structural relaxation (PBE).

Cell: 4.7387 4.9243 6.7904 Å, 68.68 90.00 90.00°
With the nearest neighbours (Å) after each atom.
Sites, in units of the cell vectors:
W 0.5000 0.5622 0.7504  2 Te 2.85
Ba 0.0000 0.9822 0.9101  4 W 3.56, 3 Te 3.57-3.74
Ba 0.5000 0.2683 0.3387  4 Te 3.57, 3 W 3.58-3.72
Te 0.0000 0.6873 0.5008  2 W 2.85

Output
The space-group type is Amm2. The calculation puts the total magnetic moment at 0.77 μB per atom. For the uncorrected formation energy, the calculation gives 0.294 eV per atom. The density of states at the Fermi level is 4.42 states/eV per cell.



13.
Entry from the Alexandria database: BaTe3W after structural relaxation (PBE).

Cell: 6.2119 6.2119 6.2119 Å, 90.00 90.00 90.00°
With the nearest neighbours (Å) after each atom.
Sites, in units of the cell vectors:
W 0.5000 0.5000 0.5000  12 Te 4.39
Te 0.5000 0.0000 0.0000  2 Ba 3.11
Te 0.0000 0.0000 0.5000  2 Ba 3.11
Te 0.0000 0.5000 0.0000  2 Ba 3.11
Ba 0.0000 0.0000 0.0000  6 Te 3.11

Output
The space-group type is Pm-3m. The calculation puts the total magnetic moment at 0.00 μB per atom. For the uncorrected formation energy, the calculation gives 2.047 eV per atom. The density of states at the Fermi level is 29.77 states/eV per cell.



14.
Entry from the Alexandria database: Ba3TeW after structural relaxation (PBE).

Cell: 5.8868 5.8868 5.8868 Å, 90.00 90.00 90.00°
With the nearest neighbours (Å) after each atom.
Sites, in units of the cell vectors:
Ba 0.0000 0.5000 0.0000  2 W 2.94
Ba 0.0000 0.0000 0.5000  2 W 2.94
Ba 0.5000 0.0000 0.0000  2 W 2.94
W 0.0000 0.0000 0.0000  6 Ba 2.94
Te 0.5000 0.5000 0.5000  12 Ba 4.16

Output
The space-group type is Pm-3m. The calculation puts the total magnetic moment at 0.00 μB per atom. For the uncorrected formation energy, the calculation gives 0.309 eV per atom. The density of states at the Fermi level is 2.18 states/eV per cell. The calculation puts the distance to the lowest polymorph of the same formula at 0.00 eV/f.u.



15.
Entry from the Alexandria database: Ba2TeW after structural relaxation (PBE).

Cell: 4.2069 4.2066 8.2110 Å, 90.00 90.00 90.00°
With the nearest neighbours (Å) after each atom.
Sites, in units of the cell vectors:
Ba 0.0000 0.0000 0.4969  4 Te 3.60, 4 W 3.63
Ba 0.0000 0.0000 0.0031  4 Te 3.60, 4 W 3.63
W 0.5000 0.5000 0.7500  8 Ba 3.63
Te 0.5000 0.5000 0.2500  8 Ba 3.60

Output
The space-group type is P4/mmm. The calculation puts the total magnetic moment at 1.00 μB per atom. For the uncorrected formation energy, the calculation gives 0.377 eV per atom. The density of states at the Fermi level is 2.86 states/eV per cell.



16.
Entry from the Alexandria database: BaY3Te after structural relaxation (PBE).

Cell: 5.8695 5.8695 5.8695 Å, 90.00 90.00 90.00°
With the nearest neighbours (Å) after each atom.
Sites, in units of the cell vectors:
Y 0.5000 0.0000 0.0000  2 Te 2.93
Y 0.0000 0.0000 0.5000  2 Te 2.93
Y 0.0000 0.5000 0.0000  2 Te 2.93
Te 0.0000 0.0000 0.0000  6 Y 2.93
Ba 0.5000 0.5000 0.5000  12 Y 4.15

Output
The space-group type is Pm-3m. The calculation puts the total magnetic moment at 0.39 μB per atom. For the uncorrected formation energy, the calculation gives -0.131 eV per atom. The density of states at the Fermi level is 9.69 states/eV per cell. The calculation puts the distance to the lowest polymorph of the same formula at 0.00 eV/f.u.



17.
Entry from the Alexandria database: Ba4YTe after structural relaxation (PBE).

Cell: 7.4166 7.4166 7.4166 Å, 60.00 60.00 60.00°
With the nearest neighbours (Å) after each atom.
Sites, in units of the cell vectors:
Ba 0.3752 0.3752 0.3752  6 Ba 3.70-3.71
Ba 0.3752 0.3752 0.8744  6 Ba 3.70-3.71
Ba 0.3752 0.8744 0.3752  6 Ba 3.70-3.71
Ba 0.8744 0.3752 0.3752  6 Ba 3.70-3.71
Y 0.0000 0.0000 0.0000  12 Ba 4.35, 4 Te 4.54
Te 0.7500 0.7500 0.7500  12 Ba 4.35, 4 Y 4.54

Output
The space-group type is F-43m. The calculation puts the total magnetic moment at 0.43 μB per atom. For the uncorrected formation energy, the calculation gives 0.217 eV per atom. The density of states at the Fermi level is 9.75 states/eV per cell.



18.
Entry from the Alexandria database: BaYTe2 after structural relaxation (PBE).

Cell: 4.5804 4.5804 8.2625 Å, 73.98 73.98 59.97°
With the nearest neighbours (Å) after each atom.
Sites, in units of the cell vectors:
Ba 0.2500 0.2500 0.2500  6 Te 3.45-3.46
Te 0.0115 0.0115 0.9656  3 Y 3.14, 3 Ba 3.45-3.46
Te 0.4885 0.4885 0.5344  3 Y 3.14, 3 Ba 3.45-3.46
Y 0.7500 0.7500 0.7500  6 Te 3.14

Output
The space-group type is C2/m. The calculation puts the total magnetic moment at 0.00 μB per atom. For the uncorrected formation energy, the calculation gives -1.534 eV per atom. The density of states at the Fermi level is 2.05 states/eV per cell. The calculation puts the distance to the lowest polymorph of the same formula at 0.00 eV/f.u.



19.
Entry from the Alexandria database: BaYTe2 after structural relaxation (PBE).

Cell: 7.4832 7.4832 8.7985 Å, 64.83 64.83 90.00°
With the nearest neighbours (Å) after each atom.
Sites, in units of the cell vectors:
Te 0.8750 0.8278 0.7500  2 Y 2.98
Te 0.5778 0.1250 0.2500  2 Y 2.98
Te 0.3750 0.4222 0.7500  2 Y 2.98
Te 0.1722 0.6250 0.2500  2 Y 2.98
Y 0.2500 0.7500 0.5000  4 Te 2.98
Y 0.5000 0.5000 0.0000  4 Te 2.98
Ba 0.0000 0.0000 0.0000  4 Te 3.40
Ba 0.7500 0.2500 0.5000  4 Te 3.40

Output
The space-group type is I-42d. The calculation puts the total magnetic moment at 0.09 μB per atom. For the uncorrected formation energy, the calculation gives -1.171 eV per atom. The density of states at the Fermi level is 9.15 states/eV per cell. The calculation puts the distance to the lowest polymorph of the same formula at 1.45 eV/f.u.



20.
Entry from the Alexandria database: BaYTe2 after structural relaxation (PBE).

Cell: 6.5961 4.6813 4.6806 Å, 90.00 90.00 90.00°
With the nearest neighbours (Å) after each atom.
Sites, in units of the cell vectors:
Y 0.0000 0.3750 0.3751  6 Te 3.30-3.31
Te 0.0000 0.8750 0.8751  2 Ba 3.30, 4 Y 3.31
Te 0.5000 0.3751 0.3748  2 Y 3.30, 4 Ba 3.31
Ba 0.5000 0.8750 0.8749  6 Te 3.30-3.31

Output
The space-group type is P4/mmm. The calculation puts the total magnetic moment at 0.00 μB per atom. For the uncorrected formation energy, the calculation gives -1.379 eV per atom. The density of states at the Fermi level is 1.69 states/eV per cell. The calculation puts the distance to the lowest polymorph of the same formula at 0.62 eV/f.u.